Below is crystalline BOsNF2 at its relaxed geometry, with properties calculated at the PBE-GGA level.

a b c (Å): 4.493 4.493 2.690
angles (deg): 90.00 90.00 90.00
Site moments in Bohr magnetons follow the coordinates.
Sites, in units of the cell vectors:
B: 0.000 0.000 0.000  0.01
F: 0.500 0.000 0.000  0.12
F: 0.000 0.500 0.000  0.12
Os: 0.500 0.500 0.500  3.23
N: 0.000 0.000 0.500  0.08


Below is crystalline BOsNF2 at its relaxed geometry, with properties calculated at the PBE-GGA level.

a b c (Å): 4.218 4.218 3.745
angles (deg): 90.00 90.00 90.00
Sites, in units of the cell vectors:
B: 0.500 0.500 0.500
F: 0.000 0.500 0.000
F: 0.500 0.000 0.000
Os: 0.000 0.000 0.000
N: 0.000 0.000 0.500


Below is crystalline BPNF2 at its relaxed geometry, with properties calculated at the PBE-GGA level.

a b c (Å): 4.234 4.234 3.293
angles (deg): 90.00 90.00 90.00
Sites, in units of the cell vectors:
P: 0.000 0.000 0.000
N: 0.000 0.000 0.500
F: 0.000 0.500 0.000
F: 0.500 0.000 0.000
B: 0.500 0.500 0.500


Below is crystalline BP2NF at its relaxed geometry, with properties calculated at the PBE-GGA level.

a b c (Å): 4.079 3.265 4.079
angles (deg): 90.00 90.00 90.00
Sites, in units of the cell vectors:
P: 0.000 0.000 0.500
P: 0.500 0.000 0.000
N: 0.500 0.500 0.500
B: 0.000 0.000 0.000
F: 0.000 0.500 0.000


The electronic total energy results, record by record, are as follows: -5.849; -5.421; -4.439; -4.614 eV/atom.